## Ba2CrAs2O6 (GGA+U)

Data for Ba2CrAs2O6 after structural relaxation.

Results
Calculated volume in Å³/atom: 15.9
SG: R-3m (166)
E_tot in eV/atom: -6.277
Fermi-level density of states in states/eV per cell: 3.2

POSCAR file:
```
Ba2CrAs2O6
1.0
3.055 1.764 5.398
-3.055 1.764 5.398
0.000 -3.527 5.398
Ba Cr As O
2 1 2 6
Direct
0.218 0.218 0.218
0.782 0.782 0.782
0.000 0.000 0.000
0.419 0.419 0.419
0.581 0.581 0.581
0.219 0.768 0.768
0.232 0.232 0.781
0.232 0.781 0.232
0.768 0.219 0.768
0.768 0.768 0.219
0.781 0.232 0.232
```